1.
A plane-wave DFT calculation with PBE was carried out for an optimized crystal structure of NiHgAu2.

Properties
- space group = R-3m
- energy (eV per atom) = -2.998
- theoretical density (g/cm³) = 15.42
- formation energy from the elements (eV per atom) = 0.161

abc: 9.554 9.554 9.554
angles: 17.70 17.70 17.70
Sites, in units of the cell vectors:
1 Au 0.010 0.010 0.010
2 Au 0.490 0.490 0.490
3 Hg 0.250 0.250 0.250
4 Ni 0.750 0.750 0.750

2.
A plane-wave DFT calculation with PBE was carried out for an optimized crystal structure of PaNiHgAu.

Properties
- space group = F-43m
- energy (eV per atom) = -4.869
- theoretical density (g/cm³) = 14.36
- formation energy from the elements (eV per atom) = -0.155

abc: 4.826 4.826 4.826
angles: 60.00 60.00 60.00
Sites, in units of the cell vectors:
1 Ni 0.000 0.000 0.000
2 Hg 0.250 0.250 0.250
3 Au 0.500 0.500 0.500
4 Pa 0.750 0.750 0.750

3.
A plane-wave DFT calculation with PBE was carried out for an optimized crystal structure of NiHgPdAu.

Properties
- space group = F-43m
- energy (eV per atom) = -3.609
- theoretical density (g/cm³) = 14.28
- formation energy from the elements (eV per atom) = 0.029

abc: 4.524 4.524 4.524
angles: 60.00 60.00 60.00
Sites, in units of the cell vectors:
1 Hg 0.000 0.000 0.000
2 Au 0.500 0.500 0.500
3 Ni 0.250 0.250 0.250
4 Pd 0.750 0.750 0.750

4.
A plane-wave DFT calculation with PBE was carried out for an optimized crystal structure of NiHgPtAu.

Properties
- space group = F-43m
- energy (eV per atom) = -3.732
- theoretical density (g/cm³) = 16.38
- formation energy from the elements (eV per atom) = 0.118

abc: 4.537 4.537 4.537
angles: 60.00 60.00 60.00
Sites, in units of the cell vectors:
1 Au 0.500 0.500 0.500
2 Hg 0.000 0.000 0.000
3 Pt 0.750 0.750 0.750
4 Ni 0.250 0.250 0.250